## Li2PrTm2In2 (PBE)

Data for a relaxed Li2PrTm2In2 crystal.

Calculated values
E_tot in eV per formula unit: -24.6
Calculated volume in Å³ per atom: 26.18

abc: 9.2551 9.2551 9.2551
angles: 30.70 30.70 30.70
Last column: nearest neighbours and their distance in Å.
Fractional coordinates of all 7 atoms:
1 Li 0.0923 0.0923 0.0923  3 In 2.83
2 Li 0.9077 0.9077 0.9077  3 In 2.83
3 Pr 0.5000 0.5000 0.5000  2 Tm 3.43, 6 Li 3.45, 6 In 3.47
4 Tm 0.3702 0.3702 0.3702  4 In 3.17-3.37, 3 Li 3.19, 1 Pr 3.43, 3 Tm 3.44
5 Tm 0.6298 0.6298 0.6298  4 In 3.17-3.37, 3 Li 3.19, 1 Pr 3.43, 3 Tm 3.44
6 In 0.2427 0.2427 0.2427  3 Li 2.83, 3 Tm 3.17
7 In 0.7573 0.7573 0.7573  3 Li 2.83, 3 Tm 3.17